CrCdBiF6: optimized geometry, GGA+U.

Cell lengths 6.1045, 6.1045, 9.5138 Å; angles 90.00, 90.00, 120.00 degrees
Closest atoms and distances in Å follow each position.
Atoms (fractional coordinates):
Cr 0.3333 0.6667 0.2500  6 F 2.00
Cr 0.6667 0.3333 0.7500  6 F 2.00
Cd 0.0000 0.0000 0.0000  6 F 2.67
Cd 0.0000 0.0000 0.5000  6 F 2.67
Bi 0.6667 0.3333 0.2500  6 F 2.37
Bi 0.3333 0.6667 0.7500  6 F 2.37
F 0.6006 0.6437 0.1397  1 Cr 2.00
F 0.0431 0.3994 0.1397  1 Cr 2.00
F 0.3994 0.0431 0.6397  1 Cr 2.00
F 0.9569 0.6006 0.8603  1 Cr 2.00
F 0.3563 0.3994 0.3603  1 Cr 2.00
F 0.0431 0.6437 0.3603  1 Cr 2.00
F 0.6437 0.0431 0.8603  1 Cr 2.00
F 0.6006 0.9569 0.3603  1 Cr 2.00
F 0.9569 0.3563 0.6397  1 Cr 2.00
F 0.3563 0.9569 0.1397  1 Cr 2.00
F 0.6437 0.6006 0.6397  1 Cr 2.00
F 0.3994 0.3563 0.8603  1 Cr 2.00

Computed properties:
DOS(E_F) ... 3.99 states/eV/cell
Final energy ... -4.715 eV per atom